# 1
# MnSbCl2

A relaxed MnSbCl2 crystal (GGA-PBE, Alexandria).

Output
Theoretical density (kg/m3): 3637
Calculated total energy (eV/cell): -18.46
Energy relative to the lowest polymorph listed for this composition (meV/atom): 139
Formation energy (no corrections) (eV per atom): -0.369
Spin magnetization (Bohr magnetons per cell): 4.744

Cell lengths 6.580, 6.580, 5.459 Å; angles 77.86, 77.86, 29.34 degrees
Each line ends with the local moment (μB).
Positions (direct):
Cl (0.394, 0.394, 0.556)  0.06
Cl (0.106, 0.106, 0.944)  0.06
Mn (0.750, 0.750, 0.750)  4.21
Sb (0.250, 0.250, 0.250)  0.04



# 2
# MnSb3Cl

A relaxed MnSb3Cl crystal (GGA-PBE, Alexandria).

Output
Theoretical density (kg/m3): 5353
Calculated total energy (eV/cell): -16.06
Energy relative to the lowest polymorph listed for this composition (meV/atom): 1291
Formation energy (no corrections) (eV per atom): 1.465
Spin magnetization (Bohr magnetons per cell): 0.152

Cell lengths 5.209, 5.209, 5.209 Å; angles 90.00, 90.00, 90.00 degrees
Positions (direct):
Sb (0.000, 0.500, 0.000)
Cl (0.000, 0.000, 0.000)
Sb (0.000, 0.000, 0.500)
Sb (0.500, 0.000, 0.000)
Mn (0.500, 0.500, 0.500)



# 3
# Mn2SbCl

A relaxed Mn2SbCl crystal (GGA-PBE, Alexandria).

Output
Theoretical density (kg/m3): 5046
Calculated total energy (eV/cell): -24.27
Energy relative to the lowest polymorph listed for this composition (meV/atom): 67
Formation energy (no corrections) (eV per atom): 0.009
Spin magnetization (Bohr magnetons per cell): 9.112

Cell lengths 5.475, 4.193, 3.828 Å; angles 90.00, 90.00, 90.00 degrees
Each line ends with the local moment (μB).
Positions (direct):
Mn (0.500, 0.281, 0.375)  4.23
Cl (0.500, 0.885, 0.875)  0.12
Mn (0.000, 0.918, 0.875)  4.07
Sb (0.000, 0.416, 0.375)  -0.03



# 4
# MnSbCl2

A relaxed MnSbCl2 crystal (GGA-PBE, Alexandria).

Output
Theoretical density (kg/m3): 4233
Calculated total energy (eV/cell): -18.51
Energy relative to the lowest polymorph listed for this composition (meV/atom): 126
Formation energy (no corrections) (eV per atom): -0.382
Spin magnetization (Bohr magnetons per cell): 3.636

Cell lengths 8.933, 8.933, 8.933 Å; angles 23.20, 23.20, 23.20 degrees
Each line ends with the local moment (μB).
Positions (direct):
Sb (0.238, 0.238, 0.238)  -0.13
Cl (0.982, 0.982, 0.982)  -0.05
Mn (0.499, 0.499, 0.499)  3.69
Cl (0.781, 0.781, 0.781)  0.07